Version A
{"formula": "Pu3Ge2Ru", "functional": "PBE", "state": "optimized geometry", "lattice_angstrom": [[-5.5084, 0.1461, -1.5373], [-0.6831, -5.4840, 1.9267], [1.2080, 5.3707, 6.8260]], "species": ["Pu", "Pu", "Pu", "Pu", "Pu", "Pu", "Ge", "Ge", "Ge", "Ge", "Ru", "Ru"], "frac_coords": [[0.4664, 0.6806, 0.3613], [0.5336, 0.3194, 0.6387], [0.1051, 0.8194, 0.6387], [0.8949, 0.1806, 0.3613], [0.5000, 0.7500, 0.0000], [0.5000, 0.2500, 0.0000], [0.3155, 0.1215, 0.2429], [0.6845, 0.8785, 0.7571], [0.0726, 0.3785, 0.7571], [0.9274, 0.6215, 0.2429], [0.0000, 0.2500, 0.0000], [0.0000, 0.7500, 0.0000]], "dos_at_fermi_per_ev_cell": 43.343, "m_tot_mub_per_fu": 16.81}

=====

Version B
{"formula": "Pu3Ge2Ru", "functional": "PBE", "state": "optimized geometry", "lattice_angstrom": [[4.5553, 0.0000, 0.0000], [0.0000, 9.0862, 0.0000], [0.0000, 0.0000, 11.6575]], "species": ["Pu", "Pu", "Pu", "Pu", "Pu", "Pu", "Pu", "Pu", "Pu", "Pu", "Pu", "Pu", "Ge", "Ge", "Ge", "Ge", "Ge", "Ge", "Ge", "Ge", "Ru", "Ru", "Ru", "Ru"], "frac_coords": [[0.2500, 0.4033, 0.0558], [0.7500, 0.5967, 0.9442], [0.7500, 0.9033, 0.4442], [0.2500, 0.0967, 0.5558], [0.2500, 0.7462, 0.2452], [0.7500, 0.2538, 0.7548], [0.7500, 0.2462, 0.2548], [0.2500, 0.7538, 0.7452], [0.2500, 0.3959, 0.3394], [0.7500, 0.6041, 0.6606], [0.7500, 0.8959, 0.1606], [0.2500, 0.1041, 0.8394], [0.2500, 0.6900, 0.4926], [0.7500, 0.3100, 0.5074], [0.7500, 0.1900, 0.0074], [0.2500, 0.8100, 0.9926], [0.2500, 0.0558, 0.3019], [0.7500, 0.9442, 0.6981], [0.7500, 0.5558, 0.1981], [0.2500, 0.4442, 0.8019], [0.2500, 0.0718, 0.0792], [0.7500, 0.9282, 0.9208], [0.7500, 0.5718, 0.4208], [0.2500, 0.4282, 0.5792]], "dos_at_fermi_per_ev_cell": 90.296, "m_tot_mub_per_fu": 4.62}

=====

Which of them is least stable? Easy: version A.

=====

Version A
{"formula": "Pu2Ge2Ru", "functional": "PBE", "state": "optimized geometry", "lattice_angstrom": [[4.6005, 0.0000, 0.0000], [0.0000, 6.0864, 0.0000], [-2.3003, 0.0000, 7.2838]], "species": ["Pu", "Pu", "Pu", "Pu", "Ge", "Ge", "Ge", "Ge", "Ru", "Ru"], "frac_coords": [[0.9776, 0.6879, 0.9552], [0.8082, 0.5037, 0.6164], [0.1918, 0.0037, 0.3836], [0.0224, 0.1879, 0.0448], [0.4369, 0.4133, 0.8738], [0.8220, 0.0032, 0.6440], [0.1780, 0.5032, 0.3560], [0.5631, 0.9133, 0.1262], [0.3876, 0.0263, 0.7751], [0.6124, 0.5263, 0.2249]], "dos_at_fermi_per_ev_cell": 24.031, "m_tot_mub_per_fu": 0.23}

=====

Version B
{"formula": "Pu2Ge2Ru", "functional": "PBE", "state": "optimized geometry", "lattice_angstrom": [[4.2379, 0.0000, 1.0044], [2.0923, 5.2984, 0.6146], [0.0314, -0.0997, 9.3101]], "species": ["Pu", "Pu", "Pu", "Pu", "Ge", "Ge", "Ge", "Ge", "Ru", "Ru"], "frac_coords": [[0.6723, 0.3354, 0.3201], [0.9102, 0.2755, 0.9042], [0.3277, 0.6646, 0.6799], [0.0898, 0.7245, 0.0958], [0.0743, 0.2762, 0.5753], [0.6286, 0.8695, 0.8734], [0.9257, 0.7238, 0.4247], [0.3714, 0.1305, 0.1266], [0.6592, 0.0661, 0.6155], [0.3408, 0.9339, 0.3845]], "dos_at_fermi_per_ev_cell": 35.825, "m_tot_mub_per_fu": 10.83}

=====

Which of them is least stable? Easy: version A.